No. 1
VASP calculation (PBE) on crystalline K3SnS3 at its relaxed geometry.

SG ... C2/m, No. 12
E_form (uncorrected) ... -0.91 eV per atom

Geometry as POSCAR:
```
K3SnS3
1.0
8.004 0.144 0.103
-3.437 7.230 0.103
-0.576 -0.929 7.812
K Sn S
6 2 6
direct
0.623 0.623 0.361 K
0.178 0.822 0.500 K
0.822 0.178 0.500 K
0.235 0.765 0.000 K
0.765 0.235 0.000 K
0.377 0.377 0.639 K
0.799 0.799 0.866 Sn
0.201 0.201 0.134 Sn
0.934 0.934 0.226 S
0.830 0.531 0.720 S
0.531 0.830 0.720 S
0.170 0.469 0.280 S
0.469 0.170 0.280 S
0.066 0.066 0.774 S
```

No. 2
VASP calculation (PBE) on crystalline NpHg2P2Pt7 at its relaxed geometry.

Energy relative to the elements ... -423 kJ/mol of formula units
SG ... C2/m, No. 12

Geometry as POSCAR:
```
NpHg2P2Pt7
1.0
3.986 -0.002 0.001
0.003 3.986 0.001
1.994 1.991 14.662
Np Hg P Pt
1 2 2 7
direct
0.000 0.000 0.000 Np
0.793 0.793 0.413 Hg
0.207 0.207 0.587 Hg
0.622 0.622 0.756 P
0.378 0.378 0.244 P
0.500 0.500 0.000 Pt
0.301 0.301 0.395 Pt
0.699 0.699 0.605 Pt
0.923 0.423 0.155 Pt
0.423 0.923 0.155 Pt
0.577 0.077 0.845 Pt
0.077 0.577 0.845 Pt
```

No. 3
VASP calculation (PBE) on crystalline Ta2Br at its relaxed geometry.

SG ... I4/mmm, No. 139
E_form (uncorrected) ... 0.58 eV per atom
Excess energy over the best structure of this formula in the dataset ... 0.551 eV per atom

Geometry as POSCAR:
```
Ta2Br
1.0
-2.293 -0.126 6.064
-1.325 -4.100 4.846
3.789 2.365 -4.701
Br Ta
1 2
direct
0.000 0.000 0.000 Br
0.336 0.336 0.000 Ta
0.664 0.664 0.000 Ta
```

No. 4
VASP calculation (PBE) on crystalline Rb2US4 at its relaxed geometry.

SG ... I4/mmm, No. 139
E_form (uncorrected) ... -1.29 eV per atom
Excess energy over the best structure of this formula in the dataset ... 0.000 eV per atom

Geometry as POSCAR:
```
Rb2US4
1.0
-4.093 -5.518 -2.641
0.828 -3.648 6.339
-12.110 11.902 4.157
Rb U S
8 4 16
direct
0.927 0.427 0.854 Rb
0.177 0.177 0.354 Rb
0.323 0.323 0.646 Rb
0.073 0.573 0.146 Rb
0.677 0.677 0.354 Rb
0.427 0.927 0.854 Rb
0.573 0.073 0.146 Rb
0.823 0.823 0.646 Rb
0.250 0.750 0.500 U
0.500 0.500 0.000 U
0.000 0.000 0.000 U
0.750 0.250 0.500 U
0.574 0.574 0.147 S
0.324 0.824 0.647 S
0.676 0.176 0.353 S
0.926 0.926 0.853 S
0.176 0.676 0.353 S
0.426 0.426 0.853 S
0.074 0.074 0.147 S
0.824 0.324 0.647 S
0.500 0.500 0.500 S
0.750 0.750 0.000 S
0.250 0.250 0.000 S
0.000 0.000 0.500 S
0.750 0.250 0.000 S
0.500 0.000 0.500 S
0.000 0.500 0.500 S
0.250 0.750 0.000 S
```